Here is crystalline MgP2H12O12 at its relaxed geometry from the Alexandria database. Energies are from PBE.

Lattice parameters (Å, degrees): 7.7995 7.7697 9.2165 84.96 112.72 107.54
Fractional positions:
Mg1 0.7681 0.1471 0.7941
Mg2 0.2319 0.8529 0.2059
P1 0.9085 0.0881 0.1879
P2 0.0915 0.9119 0.8121
P3 0.5734 0.2334 0.4118
P4 0.4266 0.7666 0.5882
H1 0.4975 0.3523 0.0993
H2 0.5025 0.6477 0.9007
H3 0.8283 0.6585 0.0725
H4 0.1717 0.3415 0.9275
H5 0.0177 0.3122 0.3566
H6 0.9823 0.6878 0.6434
H7 0.4293 0.6041 0.2757
H8 0.5707 0.3959 0.7243
H9 0.3630 0.1692 0.0059
H10 0.6370 0.8308 0.9941
H11 0.6785 0.0080 0.2942
H12 0.3215 0.9920 0.7058
H13 0.2685 0.1700 0.3645
H14 0.7315 0.8300 0.6355
H15 0.9614 0.2960 0.5653
H16 0.0386 0.7040 0.4347
H17 0.9575 0.5240 0.1338
H18 0.0425 0.4760 0.8662
H19 0.7473 0.5098 0.3690
H20 0.2527 0.4902 0.6310
H21 0.4490 0.6839 0.1173
H22 0.5510 0.3161 0.8827
H23 0.8649 0.7875 0.4020
H24 0.1351 0.2125 0.5980
O1 0.7790 0.0589 0.0154
O2 0.2210 0.9411 0.9846
O3 0.6327 0.4014 0.3101
O4 0.3673 0.5986 0.6899
O5 0.9634 0.6513 0.1139
O6 0.0366 0.3487 0.8861
O7 0.9598 0.2943 0.2373
O8 0.0402 0.7057 0.7627
O9 0.5077 0.0635 0.3085
O10 0.4923 0.9365 0.6915
O11 0.5879 0.6988 0.0076
O12 0.4121 0.3012 0.9924
O13 0.7429 0.2479 0.5690
O14 0.2571 0.7521 0.4310
O15 0.3726 0.6721 0.1854
O16 0.6274 0.3279 0.8146
O17 0.0953 0.0342 0.2375
O18 0.9047 0.9658 0.7625
O19 0.7961 0.9735 0.2939
O20 0.2039 0.0265 0.7061
O21 0.3940 0.2532 0.4420
O22 0.6060 0.7468 0.5580
O23 0.9130 0.6831 0.4512
O24 0.0870 0.3169 0.5488

final energy: -5.668 eV/atom
theoretical density: 2.0 g/cm³
Fermi-level density of states: 0.0 states/eV/cell